No. 1
PaVMoRu after structural relaxation, computed with GGA-PBE.

Geometry as CIF:
```
data_PaVMoRu
_chemical_formula_sum 'Pa4 V4 Mo4 Ru4'
_symmetry_space_group_name_H-M 'F -4 3 m'
_symmetry_Int_Tables_number 216
_symmetry_space_group_name_Hall 'F -4 2 3'
_cell_length_a 6.4963
_cell_length_b 6.4963
_cell_length_c 6.4963
_cell_angle_alpha 90.00
_cell_angle_beta 90.00
_cell_angle_gamma 90.00
loop_
_atom_site_label
_atom_site_type_symbol
_atom_site_fract_x
_atom_site_fract_y
_atom_site_fract_z
Pa1 Pa 0.0000 0.0000 0.0000
V1 V 0.0000 0.0000 0.5000
Mo1 Mo 0.2500 0.2500 0.2500
Ru1 Ru 0.2500 0.2500 0.7500
```

ΔH_f (0 K) (eV/atom): -0.08

***

No. 2
PaMoS after structural relaxation, computed with GGA-PBE.

Geometry as CIF:
```
data_PaMoS
_chemical_formula_sum 'Pa2 Mo2 S2'
_symmetry_space_group_name_H-M 'P 1 21/m 1'
_symmetry_Int_Tables_number 11
_cell_length_a 3.4284
_cell_length_b 4.1835
_cell_length_c 8.2507
_cell_angle_alpha 90.00
_cell_angle_beta 99.35
_cell_angle_gamma 90.00
loop_
_symmetry_equiv_pos_as_xyz
'x,y,z'
'-x,-y,-z'
'-x,y+1/2,-z'
'x,-y+1/2,z'
loop_
_atom_site_label
_atom_site_type_symbol
_atom_site_fract_x
_atom_site_fract_y
_atom_site_fract_z
Pa1 Pa 0.1584 0.2500 0.2916
Mo1 Mo 0.3257 0.2500 0.9375
S1 S 0.3094 0.2500 0.6387
```

***

No. 3
PaSbMo2 after structural relaxation, computed with GGA-PBE.

Geometry as CIF:
```
data_PaSbMo2
_chemical_formula_sum 'Pa1 Sb1 Mo2'
_symmetry_space_group_name_H-M 'P 4/m m m'
_symmetry_Int_Tables_number 123
_symmetry_space_group_name_Hall '-P 4 2'
_cell_length_a 4.6493
_cell_length_b 4.6493
_cell_length_c 3.5884
_cell_angle_alpha 90.00
_cell_angle_beta 90.00
_cell_angle_gamma 90.00
loop_
_atom_site_label
_atom_site_type_symbol
_atom_site_fract_x
_atom_site_fract_y
_atom_site_fract_z
Pa1 Pa 0.0000 0.0000 0.0000
Sb1 Sb 0.5000 0.5000 0.0000
Mo1 Mo 0.0000 0.5000 0.5000
```

Energy above the lowest structure with this stoichiometry (kJ/mol of formula units): 0

***

Table of electronic total energy (eV per atom), in record order: -9.758 -8.892 -8.839
Table of density of states at the Fermi level (states/eV/f.u.), in record order: 4.00 4.03 6.27
Table of spin magnetization (μB/f.u.), in record order: 0.0 0.0 0.0